Density functional theory data (GGA-PBE) for crystalline CaAc2PrRu at its relaxed geometry.

Geometry as CIF:
```
data_CaAc2PrRu
_chemical_formula_sum 'Ca1 Ac2 Pr1 Ru1'
_cell_length_a 5.826
_cell_length_b 5.826
_cell_length_c 5.690
_cell_angle_alpha 90.00
_cell_angle_beta 90.00
_cell_angle_gamma 90.00
_space_group_name_H-M_alt 'P 4/m m m'
_space_group_IT_number 123
_space_group_name_Hall '-P 4 2'
loop_
_atom_site_label
_atom_site_type_symbol
_atom_site_fract_x
_atom_site_fract_y
_atom_site_fract_z
Ca1 Ca 0.000 0.000 0.000
Ac1 Ac 0.000 0.500 0.500
Pr1 Pr 0.500 0.500 0.000
Ru1 Ru 0.500 0.500 0.500
```

Output
Total magnetization (μB per cell): 0.00
Density of states at the Fermi level (states/eV/f.u.): 4.00
Energy relative to the elements (eV/atom): -0.103

Density functional theory data (GGA-PBE) for crystalline KSnO2 at its relaxed geometry.

Geometry as CIF:
```
data_KSnO2
_chemical_formula_sum 'K1 Sn1 O2'
_cell_length_a 3.040
_cell_length_b 3.040
_cell_length_c 6.487
_cell_angle_alpha 90.00
_cell_angle_beta 90.00
_cell_angle_gamma 90.00
_space_group_name_H-M_alt 'P 4/m m m'
_space_group_IT_number 123
_space_group_name_Hall '-P 4 2'
loop_
_atom_site_label
_atom_site_type_symbol
_atom_site_fract_x
_atom_site_fract_y
_atom_site_fract_z
K1 K 0.000 0.000 0.000
Sn1 Sn 0.000 0.000 0.500
O1 O 0.500 0.500 0.301
```

Output
Total magnetization (μB per cell): 0.00
Density of states at the Fermi level (states/eV/f.u.): 1.34
Formation energy without anion corrections (eV/atom): -0.915

Density functional theory data (GGA-PBE) for crystalline CeNdPu4 at its relaxed geometry.

Geometry as CIF:
```
data_CeNdPu4
_chemical_formula_sum 'Ce4 Nd4 Pu16'
_cell_length_a 8.733
_cell_length_b 8.733
_cell_length_c 8.733
_cell_angle_alpha 90.00
_cell_angle_beta 90.00
_cell_angle_gamma 90.00
_space_group_name_H-M_alt 'F -4 3 m'
_space_group_IT_number 216
_space_group_name_Hall 'F -4 2 3'
loop_
_atom_site_label
_atom_site_type_symbol
_atom_site_fract_x
_atom_site_fract_y
_atom_site_fract_z
Ce1 Ce 0.000 0.000 0.000
Nd1 Nd 0.250 0.250 0.250
Pu1 Pu 0.126 0.126 0.626
```

Output
Total magnetization (μB per cell): 91.46
Density of states at the Fermi level (states/eV/f.u.): 26.58
Energy relative to the elements (eV/atom): 0.255